Entry 1:
VASP calculation (PBE) on an optimized crystal structure of RbScRe3.

Its formation energy is 3.481 eV/atom. The energy is -5.448 eV/atom. The calculation puts the energy above the most stable polymorph in this dataset at 753.6 meV/atom. The calculation puts the total magnetization at 0.012 μB/f.u.

It has space group Pm-3m (No. 221), with a = 4.6969 Å, b = 4.6969 Å, c = 4.6969 Å, α = 90.00°, β = 90.00° and γ = 90.00°. The asymmetric unit holds Rb at (0.0000, 0.0000, 0.0000), Sc at (0.5000, 0.5000, 0.5000) and Re at (0.0000, 0.0000, 0.5000).


Entry 2:
VASP calculation (PBE) on an optimized crystal structure of LiTe2Cl.

The energy is -2.739 eV/atom. The calculation puts the energy above the most stable polymorph in this dataset at 489.9 meV/atom. The calculation puts the total magnetization at 0.000 μB/f.u. As for the uncorrected formation energy: -0.2282 eV per atom.

It has space group F-43m (No. 216), with a = 7.4537 Å, b = 7.4537 Å, c = 7.4537 Å, α = 90.00°, β = 90.00° and γ = 90.00°. The asymmetric unit holds Li at (0.0000, 0.0000, 0.0000), Te at (0.0000, 0.0000, 0.5000), Te at (0.2500, 0.2500, 0.7500) and Cl at (0.2500, 0.2500, 0.2500).


Entry 3:
VASP calculation (PBE) on an optimized crystal structure of MnNbS2.

The energy is -7.115 eV/atom. The calculation puts the energy above the most stable polymorph in this dataset at 489.0 meV/atom. The calculation puts the total magnetization at 1.822 μB/f.u. As for the uncorrected formation energy: -0.2410 eV per atom.

It has space group R-3m (No. 166, hexagonal axes), with a = 3.0779 Å, b = 3.0779 Å, c = 23.6295 Å, α = 90.00°, β = 90.00° and γ = 120.00°. The asymmetric unit holds Mn at (0.0000, 0.0000, 0.0000), Nb at (0.0000, 0.0000, 0.5000) and S at (0.0000, 0.0000, 0.3945).


Entry 4:
VASP calculation (PBE) on an optimized crystal structure of NaTlSnTe2.

The energy is -3.168 eV/atom. The calculation puts the total magnetization at 0.000 μB/f.u. As for the uncorrected formation energy: -0.3742 eV per atom.

It has space group C2/m (No. 12), with a = 16.8640 Å, b = 5.1494 Å, c = 9.1677 Å, α = 90.00°, β = 92.44° and γ = 90.00°. The asymmetric unit holds Na at (0.1902, 0.0000, 0.0647), Tl at (0.2270, 0.0000, 0.6837), Sn at (0.0479, 0.5000, 0.2329), Te at (0.1213, 0.5000, 0.9434) and Te at (0.1315, 0.0000, 0.3716).


Entry 5:
VASP calculation (PBE) on an optimized crystal structure of NaSrGe2Pd5.

Its formation energy is -0.477 eV/atom. The energy is -4.721 eV/atom. The calculation puts the total magnetization at 0.000 μB/f.u.

It has space group P4/mmm (No. 123), with a = 4.2746 Å, b = 4.2746 Å, c = 9.3612 Å, α = 90.00°, β = 90.00° and γ = 90.00°. The asymmetric unit holds Na at (0.0000, 0.0000, 0.0000), Sr at (0.0000, 0.0000, 0.5000), Ge at (0.5000, 0.5000, 0.1368), Pd at (0.0000, 0.5000, 0.2656) and Pd at (0.5000, 0.5000, 0.5000).


Entry 6:
VASP calculation (PBE) on an optimized crystal structure of KAgPt2C.

Its formation energy is 1.499 eV/atom. The energy is -3.552 eV/atom. The calculation puts the total magnetization at 0.000 μB/f.u.

It has space group P4/mmm (No. 123), with a = 5.2845 Å, b = 5.2845 Å, c = 3.8805 Å, α = 90.00°, β = 90.00° and γ = 90.00°. The asymmetric unit holds K at (0.0000, 0.0000, 0.0000), Ag at (0.5000, 0.5000, 0.5000), Pt at (0.0000, 0.5000, 0.5000) and C at (0.5000, 0.5000, 0.0000).